No. 1
Here is an optimized crystal structure of BeBAu from the Open Quantum Materials Database. Energies are from PBE.

Unit cell a=3.757 b=3.757 c=3.757 alpha=60.00 beta=60.00 gamma=60.00
Atoms (fractional coordinates):
1 Be 0.000 0.000 0.000
2 B 0.500 0.500 0.500
3 Au 0.750 0.750 0.750

Summary:
Offset from the most stable computed form in kJ/mol of formula units: 47.3


No. 2
Here is an optimized crystal structure of Ba2ZrAuS6 from the Open Quantum Materials Database. Energies are from PBE.

Unit cell a=7.060 b=7.060 c=7.060 alpha=60.00 beta=60.00 gamma=60.00
Atoms (fractional coordinates):
1 Ba 0.250 0.250 0.250
2 Ba 0.750 0.750 0.750
3 Zr 0.000 0.000 0.000
4 Au 0.500 0.500 0.500
5 S 0.252 0.252 0.748
6 S 0.252 0.748 0.252
7 S 0.252 0.748 0.748
8 S 0.748 0.252 0.252
9 S 0.748 0.252 0.748
10 S 0.748 0.748 0.252

Summary:
Magnetization in μB/cell: 0.00


No. 3
Here is an optimized crystal structure of CoI3 from the Open Quantum Materials Database. Energies are from PBE.

Unit cell a=5.501 b=5.501 c=5.501 alpha=60.00 beta=60.00 gamma=60.00
Atoms (fractional coordinates):
1 Co 0.000 0.000 0.000
2 I 0.250 0.250 0.250
3 I 0.500 0.500 0.500
4 I 0.750 0.750 0.750

Summary:
Magnetization in μB/cell: 0.17


No. 4
Here is an optimized crystal structure of CsLu2Cu3TeS4 from the Open Quantum Materials Database. Energies are from PBE.

Unit cell a=7.315 b=7.315 c=17.129 alpha=90.00 beta=90.00 gamma=148.22
Atoms (fractional coordinates):
1 Cs 0.050 0.950 0.750
2 Cs 0.950 0.050 0.250
3 Lu 0.189 0.811 0.083
4 Lu 0.189 0.811 0.417
5 Lu 0.811 0.189 0.583
6 Lu 0.811 0.189 0.917
7 Cu 0.359 0.641 0.750
8 Cu 0.416 0.584 0.038
9 Cu 0.416 0.584 0.462
10 Cu 0.584 0.416 0.538
11 Cu 0.584 0.416 0.962
12 Cu 0.641 0.359 0.250
13 Te 0.245 0.755 0.250
14 Te 0.755 0.245 0.750
15 S 0.172 0.828 0.568
16 S 0.172 0.828 0.932
17 S 0.436 0.564 0.605
18 S 0.436 0.564 0.895
19 S 0.564 0.436 0.105
20 S 0.564 0.436 0.395
21 S 0.828 0.172 0.068
22 S 0.828 0.172 0.432

Summary:
Magnetization in μB/cell: 0.00


No. 5
Here is an optimized crystal structure of PmBeSi from the Open Quantum Materials Database. Energies are from PBE.

Unit cell a=4.460 b=4.460 c=4.460 alpha=60.00 beta=60.00 gamma=60.00
Atoms (fractional coordinates):
1 Pm 0.000 0.000 0.000
2 Be 0.500 0.500 0.500
3 Si 0.750 0.750 0.750

Summary:
Offset from the most stable computed form in kJ/mol of formula units: 175.5
Magnetization in μB/cell: 0.00


No. 6
Here is an optimized crystal structure of DyNi3 from the Open Quantum Materials Database. Energies are from PBE.

Unit cell a=3.829 b=3.829 c=3.829 alpha=90.00 beta=90.00 gamma=90.00
Atoms (fractional coordinates):
1 Dy 0.000 0.000 0.000
2 Ni 0.000 0.500 0.500
3 Ni 0.500 0.000 0.500
4 Ni 0.500 0.500 0.000

Summary:
Magnetization in μB/cell: 0.37
Energy of formation from the pure elements in eV per formula unit: -1.04


No. 7
Here is an optimized crystal structure of Nb2Cl from the Open Quantum Materials Database. Energies are from PBE.

Unit cell a=7.353 b=7.353 c=7.353 alpha=60.00 beta=60.00 gamma=60.00
Atoms (fractional coordinates):
1 Nb 0.000 0.000 0.000
2 Nb 0.000 0.000 0.500
3 Nb 0.000 0.500 0.000
4 Nb 0.500 0.000 0.000
5 Cl 0.125 0.125 0.125
6 Cl 0.875 0.875 0.875

Summary:
Offset from the most stable computed form in kJ/mol of formula units: 480.4
Magnetization in μB/cell: 2.14


No. 8
Here is an optimized crystal structure of ScNiAsW from the Open Quantum Materials Database. Energies are from PBE.

Unit cell a=4.484 b=4.484 c=4.484 alpha=60.00 beta=60.00 gamma=60.00
Atoms (fractional coordinates):
1 Sc 0.000 0.000 0.000
2 Ni 0.500 0.500 0.500
3 As 0.250 0.250 0.250
4 W 0.750 0.750 0.750

Summary:
Magnetization in μB/cell: 1.48


No. 9
Here is an optimized crystal structure of CsPmEr from the Open Quantum Materials Database. Energies are from PBE.

Unit cell a=6.087 b=6.087 c=6.087 alpha=60.00 beta=60.00 gamma=60.00
Atoms (fractional coordinates):
1 Cs 0.000 0.000 0.000
2 Pm 0.500 0.500 0.500
3 Er 0.250 0.250 0.250

Summary:
Magnetization in μB/cell: 3.18


No. 10
Here is an optimized crystal structure of TaCoAsIr from the Open Quantum Materials Database. Energies are from PBE.

Unit cell a=4.417 b=4.417 c=4.417 alpha=60.00 beta=60.00 gamma=60.00
Atoms (fractional coordinates):
1 Ta 0.000 0.000 0.000
2 Co 0.750 0.750 0.750
3 As 0.500 0.500 0.500
4 Ir 0.250 0.250 0.250

Summary:
Offset from the most stable computed form in kJ/mol of formula units: 17.0
Magnetization in μB/cell: 0.94


No. 11
Here is an optimized crystal structure of U6Fe from the Open Quantum Materials Database. Energies are from PBE.

Unit cell a=7.622 b=7.622 c=7.622 alpha=96.75 beta=96.75 gamma=139.89
Atoms (fractional coordinates):
1 U 0.094 0.594 0.689
2 U 0.101 0.217 0.318
3 U 0.217 0.899 0.116
4 U 0.283 0.399 0.682
5 U 0.399 0.717 0.116
6 U 0.406 0.094 0.500
7 U 0.594 0.906 0.500
8 U 0.601 0.283 0.884
9 U 0.717 0.601 0.318
10 U 0.783 0.101 0.884
11 U 0.899 0.783 0.682
12 U 0.906 0.406 0.311
13 Fe 0.250 0.250 0.000
14 Fe 0.750 0.750 0.000

Summary:
Magnetization in μB/cell: 0.00
Energy of formation from the pure elements in eV per formula unit: 0.00


No. 12
Here is an optimized crystal structure of Zr4PdAu from the Open Quantum Materials Database. Energies are from PBE.

Unit cell a=3.321 b=3.321 c=11.322 alpha=90.00 beta=90.00 gamma=90.00
Atoms (fractional coordinates):
1 Zr 0.000 0.000 0.152
2 Zr 0.000 0.000 0.848
3 Zr 0.500 0.500 0.335
4 Zr 0.500 0.500 0.665
5 Pd 0.500 0.500 0.000
6 Au 0.000 0.000 0.500

Summary:
Offset from the most stable computed form in kJ/mol of formula units: 0.0
Magnetization in μB/cell: 0.00
Energy of formation from the pure elements in eV per formula unit: -2.74


No. 13
Here is an optimized crystal structure of Rb2NdInO4 from the Open Quantum Materials Database. Energies are from PBE.

Unit cell a=3.506 b=3.506 c=12.811 alpha=90.00 beta=90.00 gamma=120.00
Atoms (fractional coordinates):
1 Rb 0.333 0.667 0.258
2 Rb 0.667 0.333 0.742
3 Nd 0.000 0.000 0.000
4 In 0.000 0.000 0.500
5 O 0.333 0.667 0.585
6 O 0.333 0.667 0.903
7 O 0.667 0.333 0.097
8 O 0.667 0.333 0.415

Summary:
Magnetization in μB/cell: 0.00


No. 14
Here is an optimized crystal structure of Cu3Ag from the Open Quantum Materials Database. Energies are from PBE.

Unit cell a=5.978 b=5.978 c=4.606 alpha=104.98 beta=104.98 gamma=126.97
Atoms (fractional coordinates):
1 Cu 0.053 0.947 0.750
2 Cu 0.183 0.817 0.250
3 Cu 0.436 0.564 0.250
4 Cu 0.564 0.436 0.750
5 Cu 0.817 0.183 0.750
6 Cu 0.947 0.053 0.250
7 Ag 0.317 0.683 0.750
8 Ag 0.683 0.317 0.250

Summary:
Energy of formation from the pure elements in eV per formula unit: 0.34


No. 15
Here is an optimized crystal structure of Tl2Mo3Ir2 from the Open Quantum Materials Database. Energies are from PBE.

Unit cell a=7.546 b=7.546 c=7.546 alpha=34.54 beta=34.54 gamma=34.54
Atoms (fractional coordinates):
1 Tl 0.000 0.000 0.000
2 Tl 0.431 0.431 0.431
3 Mo 0.279 0.279 0.279
4 Mo 0.571 0.571 0.571
5 Mo 0.857 0.857 0.857
6 Ir 0.161 0.161 0.161
7 Ir 0.703 0.703 0.703

Summary:
Magnetization in μB/cell: 0.02


No. 16
Here is an optimized crystal structure of PaAg2Pb2 from the Open Quantum Materials Database. Energies are from PBE.

Unit cell a=7.290 b=7.290 c=7.290 alpha=145.23 beta=145.23 gamma=49.99
Atoms (fractional coordinates):
1 Pa 0.000 0.000 0.000
2 Ag 0.250 0.750 0.500
3 Ag 0.750 0.250 0.500
4 Pb 0.390 0.390 0.000
5 Pb 0.610 0.610 0.000

Summary:
Offset from the most stable computed form in kJ/mol of formula units: 0.0
Magnetization in μB/cell: 1.46


No. 17
Here is an optimized crystal structure of YZr3 from the Open Quantum Materials Database. Energies are from PBE.

Unit cell a=5.235 b=6.635 c=5.775 alpha=90.00 beta=90.00 gamma=90.00
Atoms (fractional coordinates):
1 Y 0.250 0.250 0.158
2 Y 0.750 0.750 0.842
3 Zr 0.250 0.005 0.660
4 Zr 0.250 0.495 0.660
5 Zr 0.250 0.750 0.189
6 Zr 0.750 0.250 0.811
7 Zr 0.750 0.505 0.340
8 Zr 0.750 0.995 0.340

Summary:
Offset from the most stable computed form in kJ/mol of formula units: 0.0
Magnetization in μB/cell: 0.01
Energy of formation from the pure elements in eV per formula unit: 0.21


No. 18
Here is an optimized crystal structure of TlFeB from the Open Quantum Materials Database. Energies are from PBE.

Unit cell a=3.935 b=3.935 c=3.935 alpha=60.00 beta=60.00 gamma=60.00
Atoms (fractional coordinates):
1 Tl 0.000 0.000 0.000
2 Fe 0.500 0.500 0.500
3 B 0.750 0.750 0.750

Summary:
Offset from the most stable computed form in kJ/mol of formula units: 0.0
Magnetization in μB/cell: 2.24


No. 19
Here is an optimized crystal structure of YTmMg4 from the Open Quantum Materials Database. Energies are from PBE.

Unit cell a=3.293 b=5.209 c=9.014 alpha=90.00 beta=90.00 gamma=90.00
Atoms (fractional coordinates):
1 Y 0.000 0.000 0.000
2 Tm 0.000 0.500 0.500
3 Mg 0.496 0.000 0.665
4 Mg 0.496 0.500 0.168
5 Mg 0.504 0.000 0.335
6 Mg 0.504 0.500 0.832

Summary:
Magnetization in μB/cell: 0.00


No. 20
Here is an optimized crystal structure of HoPtF7 from the Open Quantum Materials Database. Energies are from PBE.

Unit cell a=8.539 b=5.215 c=11.671 alpha=90.00 beta=117.65 gamma=90.00
Atoms (fractional coordinates):
1 Ho 0.186 0.234 0.262
2 Ho 0.186 0.266 0.762
3 Ho 0.814 0.734 0.238
4 Ho 0.814 0.766 0.738
5 Pt 0.272 0.741 0.042
6 Pt 0.272 0.759 0.542
7 Pt 0.728 0.241 0.458
8 Pt 0.728 0.259 0.958
9 F 0.015 0.744 0.453
10 F 0.015 0.756 0.953
11 F 0.039 0.616 0.727
12 F 0.039 0.884 0.227
13 F 0.259 0.090 0.460
14 F 0.259 0.410 0.960
15 F 0.261 0.570 0.186
16 F 0.261 0.930 0.686
17 F 0.296 0.062 0.135
18 F 0.296 0.438 0.635
19 F 0.300 0.579 0.406
20 F 0.300 0.921 0.906
21 F 0.474 0.198 0.366
22 F 0.474 0.302 0.866
23 F 0.526 0.698 0.134
24 F 0.526 0.802 0.634
25 F 0.700 0.079 0.094
26 F 0.700 0.421 0.594
27 F 0.704 0.562 0.365
28 F 0.704 0.938 0.865
29 F 0.739 0.070 0.314
30 F 0.739 0.430 0.814
31 F 0.741 0.590 0.040
32 F 0.741 0.910 0.540
33 F 0.961 0.116 0.773
34 F 0.961 0.384 0.273
35 F 0.985 0.244 0.047
36 F 0.985 0.256 0.547

Summary:
Magnetization in μB/cell: 0.00


VASP energy: -3.976; -5.142; -1.823; -4.794; -4.642; -5.586; -4.787; -6.920; -2.162; -8.065; -10.870; -7.562; -5.645; -3.409; -7.425; -4.251; -7.974; -4.798; -2.915; -5.183 (eV/atom)
Density: 9.60; 5.04; 6.20; 6.39; 4.82; 10.01; 2.61; 9.44; 4.64; 13.82; 18.39; 8.89; 6.01; 9.25; 14.56; 11.41; 6.00; 10.44; 3.81; 7.11 (g/cm3)